No. 1
TiCdRu2, relaxed, DFT PBE; density = 8.3 g/cm3; energy = -6.34 eV per atom; D(E_F) = 14.32 states/eV/cell; spin magnetization = 0.00 μB/cell; E_form = 0.504 eV/atom
1.0
4.064 0.000 0.000
0.000 4.064 0.000
0.000 0.000 17.549
Ti Cd Ru
4 4 8
Cartesian
0.000 0.000 0.000 Ti
0.000 2.032 4.387 Ti
2.032 0.000 13.162 Ti
2.032 2.032 8.774 Ti
0.000 0.000 8.774 Cd
0.000 2.032 13.162 Cd
2.032 0.000 4.387 Cd
2.032 2.032 0.000 Cd
0.720 1.016 2.194 Ru
1.016 2.752 6.581 Ru
1.016 3.343 15.355 Ru
1.312 1.016 10.968 Ru
2.752 3.048 10.968 Ru
3.048 0.720 15.355 Ru
3.048 1.312 6.581 Ru
3.343 3.048 2.194 Ru

No. 2
CeGa2I6, relaxed, DFT PBE; formation energy without anion corrections = -6.31 eV per formula unit; density = 4.0 g/cm3; energy = -3.07 eV per atom; D(E_F) = 8.80 states/eV/cell; spin magnetization = 1.15 μB/cell
1.0
7.338 -2.742 0.000
7.338 2.742 0.000
-0.384 0.000 10.615
Ce Ga I
1 2 6
Cartesian
0.000 0.000 0.000 Ce
3.730 0.000 7.118 Ga
10.563 0.000 3.497 Ga
0.902 0.000 7.806 I
2.796 0.000 3.815 I
5.129 0.000 9.944 I
9.164 0.000 0.670 I
11.497 0.000 6.799 I
13.391 0.000 2.809 I

No. 3
LiBe2Re, relaxed, DFT PBE; density = 7.9 g/cm3; energy = -5.23 eV per atom; D(E_F) = 2.28 states/eV/cell; spin magnetization = 0.00 μB/cell; E_form = 0.220 eV/atom
1.0
2.625 0.000 0.000
0.000 2.625 0.000
0.000 0.000 6.472
Li Be Re
1 2 1
Cartesian
0.000 0.000 0.000 Li
0.000 0.000 3.751 Be
1.312 1.312 4.800 Be
1.312 1.312 2.087 Re

No. 4
KCa2La, relaxed, DFT PBE; density = 2.4 g/cm3; energy = -2.18 eV per atom; D(E_F) = 24.39 states/eV/cell; spin magnetization = 0.00 μB/cell; E_form = 0.331 eV/atom
1.0
8.975 0.000 0.000
0.000 8.975 0.000
0.000 0.000 8.975
K Ca La
4 8 4
Cartesian
0.000 0.000 0.000 K
0.000 4.487 4.487 K
4.487 0.000 4.487 K
4.487 4.487 0.000 K
2.244 2.244 2.244 Ca
2.244 2.244 6.731 Ca
2.244 6.731 2.244 Ca
2.244 6.731 6.731 Ca
6.731 2.244 2.244 Ca
6.731 2.244 6.731 Ca
6.731 6.731 2.244 Ca
6.731 6.731 6.731 Ca
0.000 0.000 4.487 La
0.000 4.487 0.000 La
4.487 0.000 0.000 La
4.487 4.487 4.487 La

No. 5
GaNi2Bi, relaxed, DFT PBE; density = 10.2 g/cm3; energy = -4.49 eV per atom; D(E_F) = 10.21 states/eV/cell; spin magnetization = 0.00 μB/cell; E_form = 0.128 eV/atom
1.0
6.365 0.000 0.000
0.000 6.365 0.000
0.000 0.000 6.365
Ga Ni Bi
4 8 4
Cartesian
0.000 0.000 0.000 Ga
0.000 3.183 3.183 Ga
3.183 0.000 3.183 Ga
3.183 3.183 0.000 Ga
1.591 1.591 1.591 Ni
1.591 1.591 4.774 Ni
1.591 4.774 1.591 Ni
1.591 4.774 4.774 Ni
4.774 1.591 1.591 Ni
4.774 1.591 4.774 Ni
4.774 4.774 1.591 Ni
4.774 4.774 4.774 Ni
0.000 0.000 3.183 Bi
0.000 3.183 0.000 Bi
3.183 0.000 0.000 Bi
3.183 3.183 3.183 Bi

No. 6
Zr2W, relaxed, DFT PBE; density = 8.7 g/cm3; energy = -9.44 eV per atom; D(E_F) = 5.08 states/eV/cell; spin magnetization = 0.00 μB/cell; E_form = 0.574 eV/atom
1.0
4.669 0.000 0.000
0.000 4.669 0.000
0.000 0.000 3.217
Zr W
2 1
Cartesian
0.000 2.334 0.000 Zr
2.334 0.000 0.000 Zr
0.000 0.000 1.608 W

No. 7
BaGa2AgRh, relaxed, DFT PBE; density = 6.5 g/cm3; energy = -4.04 eV per atom; D(E_F) = 2.24 states/eV/cell; spin magnetization = 0.00 μB/cell; E_form = -0.407 eV/atom
1.0
4.793 0.000 0.000
0.000 4.793 0.000
0.000 0.000 5.396
Ba Ga Ag Rh
1 2 1 1
Cartesian
0.000 0.000 0.000 Ba
0.000 2.397 2.698 Ga
2.397 0.000 2.698 Ga
2.397 2.397 0.000 Ag
2.397 2.397 2.698 Rh

No. 8
Dy4Ga2Sb, relaxed, DFT PBE; formation energy without anion corrections = -4.61 eV per formula unit; density = 8.2 g/cm3; energy = -4.74 eV per atom; D(E_F) = 12.56 states/eV/cell; spin magnetization = 0.00 μB/cell
1.0
-4.522 4.522 4.502
4.522 -4.522 4.502
4.522 4.522 -4.502
Dy Ga Sb
8 4 2
Cartesian
6.113 0.639 0.558 Dy
3.883 2.931 -1.694 Dy
0.639 2.931 -0.558 Dy
0.639 1.591 2.809 Dy
3.883 1.591 3.945 Dy
1.591 -0.639 6.196 Dy
2.931 5.161 1.694 Dy
-1.591 3.883 5.060 Dy
2.261 -1.144 3.377 Ga
3.378 2.261 1.126 Ga
2.261 5.666 -1.126 Ga
1.144 2.261 5.628 Ga
0.000 0.000 0.000 Sb
0.000 4.522 2.251 Sb

What is the density in the sixth record? 8.7 g/cm3